Material: Mg4CdSn
Method: DFT, PBE
State: relaxed

The calculation puts the total energy at -1.858 eV/atom. The formation energy comes out at 25 meV per atom. Its spin magnetization is 0.000 μB/atom. For the energy relative to the lowest polymorph listed for this composition, the calculation gives 0.51 eV/f.u.

The space group is F-43m (No. 216) and the conventional cell measures 8.300, 8.300 and 8.300 Å, with angles of 90.00, 90.00 and 90.00 degrees. Symmetry generates all atoms from Mg at (0.125, 0.125, 0.125), Cd at (0.250, 0.250, 0.750) and Sn at (0.000, 0.000, 0.500).

***

Material: CaLa2S2
Method: DFT, PBE
State: relaxed

The calculation puts the total energy at -5.480 eV/atom. Its spin magnetization is 0.000 μB/atom.

The space group is P4/mbm (No. 127) and the conventional cell measures 7.974, 7.974 and 3.968 Å, with angles of 90.00, 90.00 and 90.00 degrees. Symmetry generates all atoms from Ca at (0.000, 0.000, 0.000), La at (0.156, 0.344, 0.500) and S at (0.150, 0.650, 0.000).

***

Material: Mn2MoC
Method: DFT, PBE
State: relaxed

The calculation puts the total energy at -9.373 eV/atom. The formation energy comes out at 226 meV per atom. Its spin magnetization is 0.466 μB/atom.

The space group is I-42d (No. 122) and the conventional cell measures 6.448, 6.448 and 4.413 Å, with angles of 90.00, 90.00 and 90.00 degrees. Symmetry generates all atoms from Mn at (0.137, 0.250, 0.125), Mo at (0.000, 0.000, 0.500) and C at (0.000, 0.000, 0.000).

***

Material: Li2WN
Method: DFT, PBE
State: relaxed

The calculation puts the total energy at -6.029 eV/atom. Its spin magnetization is 0.000 μB/atom.

The space group is I-42d (No. 122) and the conventional cell measures 6.932, 6.932 and 3.991 Å, with angles of 90.00, 90.00 and 90.00 degrees. Symmetry generates all atoms from Li at (0.154, 0.750, 0.125), W at (0.000, 0.000, 0.500) and N at (0.000, 0.000, 0.000).

***

Material: Al2CoCu
Method: DFT, PBE
State: relaxed

The calculation puts the total energy at -5.062 eV/atom. The formation energy comes out at -390 meV per atom. Its spin magnetization is 0.000 μB/atom.

The space group is P4/mmm (No. 123) and the conventional cell measures 4.122, 4.122 and 2.919 Å, with angles of 90.00, 90.00 and 90.00 degrees. Symmetry generates all atoms from Al at (0.000, 0.500, 0.000), Co at (0.000, 0.000, 0.500) and Cu at (0.500, 0.500, 0.500).

***

Material: SrY2Sn2
Method: DFT, PBE
State: relaxed

The calculation puts the total energy at -5.128 eV/atom. The formation energy comes out at -605 meV per atom. Its spin magnetization is 0.000 μB/atom. For the energy relative to the lowest polymorph listed for this composition, the calculation gives 0.00 eV/f.u.

The space group is P4/mbm (No. 127) and the conventional cell measures 9.129, 9.129 and 3.680 Å, with angles of 90.00, 90.00 and 90.00 degrees. Symmetry generates all atoms from Sr at (0.000, 0.000, 0.000), Y at (0.138, 0.362, 0.500) and Sn at (0.160, 0.660, 0.000).